1.
This record from Alexandria describes crystalline TmGa2Si at its relaxed geometry. The functional is PBE.

Cell: 4.303 4.303 5.481 Å, 66.89 66.89 60.00°
Fractional positions:
Si 0.000 0.000 0.000
Tm 0.500 0.500 0.500
Ga 0.720 0.720 0.841
Ga 0.280 0.280 0.159

Polymorph energy (0 for the lowest one): 208 meV/atom
Energy relative to the elements, uncorrected: -202.0 meV per atom
Theoretical density: 7.1 g cm⁻³

2.
This record from Alexandria describes crystalline Tm3Ga3Si2 at its relaxed geometry. The functional is PBE.

Cell: 4.016 5.722 15.042 Å, 90.00 90.00 110.54°
Fractional positions:
Tm 0.864 0.729 0.405
Tm 0.136 0.271 0.905
Tm 0.864 0.729 0.095
Tm 0.136 0.271 0.595
Tm 0.582 0.164 0.250
Tm 0.418 0.836 0.750
Ga 0.580 0.160 0.445
Ga 0.420 0.840 0.945
Ga 0.580 0.160 0.055
Ga 0.420 0.840 0.555
Ga 0.316 0.632 0.250
Ga 0.684 0.368 0.750
Si 0.840 0.679 0.878
Si 0.160 0.321 0.378
Si 0.840 0.679 0.622
Si 0.160 0.321 0.122

Energy relative to the elements, uncorrected: -599.6 meV per atom
Theoretical density: 7.9 g cm⁻³

3.
This record from Alexandria describes crystalline Tm2Ga2Si at its relaxed geometry. The functional is PBE.

Cell: 4.129 5.705 9.580 Å, 79.40 77.55 68.78°
Fractional positions:
Tm 0.313 0.261 0.112
Tm 0.485 0.350 0.679
Tm 0.687 0.739 0.888
Tm 0.515 0.650 0.321
Ga 0.961 0.182 0.895
Ga 0.150 0.258 0.442
Ga 0.039 0.818 0.105
Ga 0.850 0.742 0.558
Si 0.802 0.076 0.321
Si 0.198 0.924 0.679

Energy relative to the elements, uncorrected: -601.2 meV per atom
Theoretical density: 8.2 g cm⁻³